Entry from Alexandria: CaHo2Te4 after structural relaxation (PBE).

The space group is Cmcm (No. 63) and the conventional cell measures 4.3334, 14.2897 and 15.0947 Å, with angles of 90.00, 90.00 and 90.00 degrees. Symmetry generates all atoms from Ca at (0.0000, 0.1151, 0.2500), Ho at (0.0000, 0.3656, 0.0699), Te at (0.0000, 0.0000, 0.0000), Te at (0.0000, 0.2753, 0.6185) and Te at (0.0000, 0.4566, 0.2500).

Its calculated volume is 233.7 Å³/f.u. The total magnetization comes out at 0.0 μB/f.u. For the energy relative to the elements, uncorrected, the calculation gives -1431 meV/atom.